# 1
# LiHO | Alexandria | meta-GGA SCAN | PBEsol geometry
data_LiHO
_chemical_formula_sum 'Li2 H2 O2'
_cell_length_a 3.5077
_cell_length_b 3.5077
_cell_length_c 4.1884
_cell_angle_alpha 90.00
_cell_angle_beta 90.00
_cell_angle_gamma 90.00
_space_group_name_H-M_alt 'P 4/n m m'
_space_group_IT_number 129
loop_
_space_group_symop_operation_xyz
'x,y,z'
'-x,-y,-z'
'-y+1/2,x,z'
'y+1/2,-x,-z'
'-x+1/2,-y+1/2,z'
'x+1/2,y+1/2,-z'
'y,-x+1/2,z'
'-y,x+1/2,-z'
'x+1/2,-y,-z'
'-x+1/2,y,z'
'-y,-x,-z'
'y,x,z'
'-x,y+1/2,-z'
'x,-y+1/2,z'
'y+1/2,x+1/2,-z'
'-y+1/2,-x+1/2,z'
loop_
_atom_site_label
_atom_site_fract_x
_atom_site_fract_y
_atom_site_fract_z
Li1 0.2500 0.7500 0.0000
H1 0.2500 0.2500 0.4344
O1 0.2500 0.2500 0.2019
# Spin magnetization ... 0.0 μB/f.u.
# Raw total energy ... -34.1 eV per cell
# DOS at the Fermi energy ... 0.00 states/eV per cell

***

# 2
# MgNiB3 | Alexandria | meta-GGA SCAN | PBEsol geometry
data_MgNiB3
_chemical_formula_sum 'Mg1 Ni1 B3'
_cell_length_a 3.7760
_cell_length_b 3.7760
_cell_length_c 3.7760
_cell_angle_alpha 90.00
_cell_angle_beta 90.00
_cell_angle_gamma 90.00
_space_group_name_H-M_alt 'P m -3 m'
_space_group_IT_number 221
_space_group_name_Hall '-P 4 2 3'
loop_
_atom_site_label
_atom_site_fract_x
_atom_site_fract_y
_atom_site_fract_z
Mg1 0.0000 0.0000 0.0000
Ni1 0.5000 0.5000 0.5000
B1 0.0000 0.5000 0.5000
# Spin magnetization ... 0.0 μB/f.u.
# Raw total energy ... -39.3 eV per cell
# DOS at the Fermi energy ... 1.56 states/eV per cell

***

# 3
# Mg2SbRh2 | Alexandria | meta-GGA SCAN | PBEsol geometry
data_Mg2SbRh2
_chemical_formula_sum 'Mg4 Sb2 Rh4'
_cell_length_a 6.5983
_cell_length_b 6.5983
_cell_length_c 4.0971
_cell_angle_alpha 90.00
_cell_angle_beta 90.00
_cell_angle_gamma 90.00
_space_group_name_H-M_alt 'P 4/m b m'
_space_group_IT_number 127
_space_group_name_Hall '-P 4 2ab'
loop_
_atom_site_label
_atom_site_fract_x
_atom_site_fract_y
_atom_site_fract_z
Mg1 0.1579 0.3421 0.0000
Sb1 0.0000 0.0000 0.5000
Rh1 0.1444 0.6444 0.5000
# Spin magnetization ... 0.0 μB/f.u.
# Raw total energy ... -234.7 eV per cell
# DOS at the Fermi energy ... 5.92 states/eV per cell

***

# 4
# MgAgBAu2 | Alexandria | meta-GGA SCAN | PBEsol geometry
data_MgAgBAu2
_chemical_formula_sum 'Mg1 Ag1 B1 Au2'
_cell_length_a 4.8134
_cell_length_b 4.8134
_cell_length_c 4.2425
_cell_angle_alpha 90.00
_cell_angle_beta 90.00
_cell_angle_gamma 90.00
_space_group_name_H-M_alt 'P 4/m m m'
_space_group_IT_number 123
_space_group_name_Hall '-P 4 2'
loop_
_atom_site_label
_atom_site_fract_x
_atom_site_fract_y
_atom_site_fract_z
Mg1 0.0000 0.0000 0.0000
Ag1 0.5000 0.5000 0.5000
B1 0.0000 0.0000 0.5000
Au1 0.0000 0.5000 0.0000
# Spin magnetization ... 0.0 μB/f.u.
# Raw total energy ... -176.5 eV per cell
# DOS at the Fermi energy ... 2.05 states/eV per cell